A relaxed structure of YTaCd2. Source: the Alexandria database, functional PBE.

Lattice parameters (Å, degrees): 5.8812 5.8812 5.4442 67.02 67.02 31.13
Sites, in units of the cell vectors:
Ta (0.4914, 0.4914, 0.4521)
Cd (0.0095, 0.0095, 0.9384)
Cd (0.7554, 0.7554, 0.8035)
Y (0.2437, 0.2437, 0.3060)

Output
space group	Cm, No. 8
energy of formation	19.7	kJ/mol of atoms
D(E_F)	3.71	states/eV per cell
calculated total energy	-19.3	eV/cell